A plane-wave DFT calculation with PBE was carried out for a relaxed Tb3PrSm6 crystal.

**Energy relative to the elements**: 0.12 eV/atom
**Crystal system**: orthorhombic

Cell lengths 9.770, 21.377, 6.479 Å; angles 90.00, 90.00, 90.00 degrees
Space group Cmc2_1 (No. 36)
Unique sites:
Tb1 0.000 0.081 0.000
Tb2 0.169 0.372 0.386
Pr1 0.000 0.342 0.910
Sm1 0.000 0.199 0.704
Sm2 0.000 0.486 0.701
Sm3 0.174 0.218 0.233
Sm4 0.179 0.059 0.478



A plane-wave DFT calculation with PBE was carried out for a relaxed Tb3PrSm6 crystal.

**Energy relative to the elements**: 0.15 eV/atom
**Crystal system**: orthorhombic

Cell lengths 11.052, 19.243, 6.333 Å; angles 90.00, 90.00, 90.00 degrees
Space group Cmc2_1 (No. 36)
Unique sites:
Tb1 0.000 0.115 0.000
Tb2 0.174 0.385 0.378
Pr1 0.000 0.305 0.028
Sm1 0.000 0.220 0.559
Sm2 0.000 0.462 0.792
Sm3 0.168 0.042 0.463
Sm4 0.238 0.209 0.289



A plane-wave DFT calculation with PBE was carried out for a relaxed Tb5Pr4Sm crystal.

**Energy relative to the elements**: 0.23 eV/atom
**Crystal system**: tetragonal

Cell lengths 10.683, 10.683, 6.103 Å; angles 90.00, 90.00, 90.00 degrees
Space group I4mm (No. 107)
Unique sites:
Tb1 0.000 0.000 0.000
Tb2 0.189 0.189 0.260
Pr1 0.000 0.325 0.787
Sm1 0.000 0.000 0.529



A plane-wave DFT calculation with PBE was carried out for a relaxed Tb7Pr6Sm16 crystal.

**Energy relative to the elements**: 0.21 eV/atom
**Crystal system**: cubic

Cell lengths 16.035, 16.035, 16.035 Å; angles 90.00, 90.00, 90.00 degrees
Space group Fm-3m (No. 225)
Unique sites:
Tb1 0.000 0.000 0.000
Tb2 0.000 0.250 0.250
Pr1 0.000 0.000 0.272
Sm1 0.126 0.126 0.126
Sm2 0.151 0.151 0.349



A plane-wave DFT calculation with PBE was carried out for a relaxed Tb2Pr4Sm crystal.

**Energy relative to the elements**: 0.06 eV/atom
**Crystal system**: monoclinic

Cell lengths 6.536, 24.566, 6.904 Å; angles 90.00, 118.24, 90.00 degrees
Space group Cc (No. 9)
Unique sites:
Tb1 0.000 0.091 0.000
Tb2 0.049 0.341 0.597
Pr1 0.025 0.196 0.646
Pr2 0.067 0.231 0.177
Pr3 0.428 0.446 0.952
Pr4 0.439 0.019 0.921
Sm1 0.469 0.125 0.548



A plane-wave DFT calculation with PBE was carried out for a relaxed Tb2Pr3Sm2 crystal.

**Energy relative to the elements**: 0.11 eV/atom
**Crystal system**: monoclinic

Cell lengths 17.829, 3.561, 8.707 Å; angles 90.00, 118.80, 90.00 degrees
Space group C2/m (No. 12)
Unique sites:
Tb1 0.146 0.000 0.328
Pr1 0.000 0.000 0.500
Pr2 0.213 0.000 0.798
Sm1 0.064 0.500 0.910



A plane-wave DFT calculation with PBE was carried out for a relaxed Tb3PrSm2 crystal.

**Energy relative to the elements**: 0.21 eV/atom
**Crystal system**: orthorhombic

Cell lengths 9.564, 13.278, 6.426 Å; angles 90.00, 90.00, 90.00 degrees
Space group Cmc2_1 (No. 36)
Unique sites:
Tb1 0.000 0.082 0.000
Tb2 0.183 0.306 0.207
Pr1 0.000 0.176 0.526
Sm1 0.181 0.441 0.747



A plane-wave DFT calculation with PBE was carried out for a relaxed Tb5Pr4Sm4 crystal.

**Energy relative to the elements**: 0.02 eV/atom
**Crystal system**: tetragonal

Cell lengths 13.116, 13.116, 5.113 Å; angles 90.00, 90.00, 90.00 degrees
Space group I4/m (No. 87)
Unique sites:
Tb1 0.000 0.000 0.000
Tb2 0.039 0.811 0.500
Pr1 0.079 0.617 0.000
Sm1 0.153 0.229 0.000



A plane-wave DFT calculation with PBE was carried out for a relaxed Tb3Pr2Sm7 crystal.

**Energy relative to the elements**: 0.11 eV/atom
**Crystal system**: orthorhombic

Cell lengths 5.807, 38.547, 3.655 Å; angles 90.00, 90.00, 90.00 degrees
Space group Cmmm (No. 65)
Unique sites:
Tb1 0.000 0.000 0.000
Tb2 0.000 0.186 0.000
Pr1 0.000 0.352 0.500
Sm1 0.000 0.090 0.500
Sm2 0.000 0.269 0.500
Sm3 0.000 0.429 0.000
Sm4 0.000 0.500 0.500



A plane-wave DFT calculation with PBE was carried out for a relaxed Tb6Pr2Sm3 crystal.

**Energy relative to the elements**: 0.18 eV/atom
**Crystal system**: monoclinic

Cell lengths 6.188, 10.741, 11.791 Å; angles 90.00, 100.21, 90.00 degrees
Space group C2/m (No. 12)
Unique sites:
Tb1 0.250 0.000 0.248
Tb2 0.250 0.167 0.751
Pr1 0.000 0.333 0.500
Sm1 0.000 0.164 0.000
Sm2 0.000 0.500 0.000



A plane-wave DFT calculation with PBE was carried out for a relaxed TbPr15Sm4 crystal.

**Energy relative to the elements**: 0.01 eV/atom
**Crystal system**: tetragonal

Cell lengths 5.227, 5.227, 26.029 Å; angles 90.00, 90.00, 90.00 degrees
Space group P4/mmm (No. 123)
Unique sites:
Tb1 0.000 0.000 0.000
Pr1 0.000 0.500 0.099
Pr2 0.000 0.500 0.300
Pr3 0.000 0.500 0.500
Pr4 0.500 0.500 0.000
Pr5 0.500 0.500 0.199
Pr6 0.500 0.500 0.400
Sm1 0.000 0.000 0.199
Sm2 0.000 0.000 0.400



A plane-wave DFT calculation with PBE was carried out for a relaxed Tb5Pr12Sm crystal.

**Energy relative to the elements**: 0.02 eV/atom
**Crystal system**: orthorhombic

Cell lengths 15.544, 15.573, 5.196 Å; angles 90.00, 90.00, 90.00 degrees
Space group Cmmm (No. 65)
Unique sites:
Tb1 0.000 0.000 0.000
Tb2 0.000 0.167 0.500
Tb3 0.000 0.333 0.000
Pr1 0.164 0.000 0.500
Pr2 0.165 0.167 0.000
Pr3 0.165 0.333 0.500
Pr4 0.166 0.500 0.000
Sm1 0.000 0.500 0.500



A plane-wave DFT calculation with PBE was carried out for a relaxed Tb7Pr3Sm2 crystal.

**Energy relative to the elements**: 0.08 eV/atom
**Crystal system**: monoclinic

Cell lengths 5.900, 3.608, 19.006 Å; angles 90.00, 93.13, 90.00 degrees
Space group P2/m (No. 10)
Unique sites:
Tb1 0.000 0.000 0.000
Tb2 0.193 0.500 0.174
Tb3 0.257 0.500 0.538
Tb4 0.309 0.000 0.857
Pr1 0.223 0.000 0.367
Pr2 0.500 0.500 0.000
Sm1 0.288 0.500 0.707



A plane-wave DFT calculation with PBE was carried out for a relaxed Tb4Pr2Sm7 crystal.

**Energy relative to the elements**: 0.17 eV/atom
**Crystal system**: trigonal

Cell lengths 6.1942, 6.1942, 13.3238 Å; angles 90.00, 90.00, 120.00 degrees
Space group P-31m (No. 162)
Unique sites:
Tb1 0.0000 0.0000 0.1064
Tb2 0.3333 0.6667 0.0000
Pr1 0.3333 0.6667 0.5000
Sm1 0.0000 0.0000 0.5000
Sm2 0.0000 0.3657 0.7220



A plane-wave DFT calculation with PBE was carried out for a relaxed Tb3Pr3Sm crystal.

**Energy relative to the elements**: 0.24 eV/atom
**Crystal system**: trigonal

Cell lengths 8.8296, 8.8296, 21.8391 Å; angles 90.00, 90.00, 120.00 degrees
Space group R-3 (No. 148, hexagonal axes)
Unique sites:
Tb1 0.0588 0.2747 0.2136
Pr1 0.0028 0.2411 0.0587
Sm1 0.0000 0.0000 0.3533



A plane-wave DFT calculation with PBE was carried out for a relaxed Tb2Pr5Sm5 crystal.

**Energy relative to the elements**: 0.02 eV/atom
**Crystal system**: monoclinic

Cell lengths 15.507, 5.166, 11.556 Å; angles 90.00, 116.52, 90.00 degrees
Space group C2/m (No. 12)
Unique sites:
Tb1 0.083 0.000 0.252
Pr1 0.000 0.000 0.500
Pr2 0.165 0.000 0.999
Pr3 0.249 0.500 0.250
Sm1 0.000 0.500 0.000
Sm2 0.082 0.500 0.749
Sm3 0.167 0.500 0.500



A plane-wave DFT calculation with PBE was carried out for a relaxed Tb4Pr15Sm crystal.

**Energy relative to the elements**: 0.01 eV/atom
**Crystal system**: tetragonal

Cell lengths 5.213, 5.213, 25.934 Å; angles 90.00, 90.00, 90.00 degrees
Space group P4/mmm (No. 123)
Unique sites:
Tb1 0.000 0.000 0.100
Tb2 0.000 0.000 0.299
Pr1 0.000 0.500 0.000
Pr2 0.000 0.500 0.200
Pr3 0.000 0.500 0.399
Pr4 0.500 0.500 0.100
Pr5 0.500 0.500 0.299
Pr6 0.500 0.500 0.500
Sm1 0.000 0.000 0.500



A plane-wave DFT calculation with PBE was carried out for a relaxed Tb14PrSm crystal.

**Energy relative to the elements**: 0.00 eV/atom
**Crystal system**: orthorhombic

Cell lengths 11.559, 7.179, 12.424 Å; angles 90.00, 90.00, 90.00 degrees
Space group Amm2 (No. 38)
Unique sites:
Tb1 0.000 0.000 0.000
Tb2 0.000 0.000 0.500
Tb3 0.000 0.250 0.250
Tb4 0.247 0.250 0.083
Tb5 0.248 0.000 0.334
Tb6 0.249 0.000 0.833
Tb7 0.500 0.250 0.416
Pr1 0.500 0.000 0.166
Sm1 0.500 0.000 0.666